Below is a crystal of Pd2SeF relaxed with PBEsol, with properties calculated at the SCAN level.

Its total energy is -22.797 eV per atom. The magnetization is 0.00 μB per atom. The value obtained for the uncorrected formation energy is -11.649 kcal/mol of atoms.

abc: 4.2615 4.2615 4.2615
angles: 60.00 60.00 60.00
With the nearest neighbours (Å) after each atom.
Fractional coordinates of all 4 atoms:
Se: 0.5000 0.5000 0.5000  8 Pd 2.61
Pd: 0.2500 0.2500 0.2500  4 F 2.61, 4 Se 2.61
Pd: 0.7500 0.7500 0.7500  4 F 2.61, 4 Se 2.61
F: 0.0000 0.0000 0.0000  8 Pd 2.61